#w
{
  "formula": "LiAg2W",
  "functional": "PBE-GGA",
  "state": "relaxed",
  "cell": [[4.9872, 0.0000, 0.0000], [0.0000, 4.9872, 0.0000], [0.0000, 0.0000, 2.7021]],
  "species": ["Ag", "Ag", "W", "Li"],
  "fractional_positions": [[0.5000, 0.5000, 0.0000], [0.0000, 0.0000, 0.0000], [0.0000, 0.5000, 0.5000], [0.5000, 0.0000, 0.5000]],
  "space_group": "P4/mmm",
  "total_magnetization_mub_per_atom": 0.000
}

---

#x
{
  "formula": "LiAg2W",
  "functional": "PBE-GGA",
  "state": "relaxed",
  "cell": [[-4.1805, -1.1262, 2.5145], [-2.1771, -2.3220, 3.8648], [0.2007, 3.9803, 3.2272]],
  "species": ["W", "Li", "Ag", "Ag"],
  "fractional_positions": [[0.2547, 0.2547, 0.2226], [0.4974, 0.4974, 0.5263], [0.0009, 0.0009, 0.0309], [0.7470, 0.7470, 0.7202]],
  "space_group": "Cm",
  "total_magnetization_mub_per_atom": 0.002
}

---

#y
{
  "formula": "LiAg2W",
  "functional": "PBE-GGA",
  "state": "relaxed",
  "cell": [[9.7653, -0.0037, -0.0022], [9.3600, 2.7841, -0.0022], [9.3600, 1.3608, 2.4289]],
  "species": ["Ag", "Ag", "Li", "W"],
  "fractional_positions": [[0.9973, 0.9973, 0.9973], [0.5027, 0.5027, 0.5027], [0.2500, 0.2500, 0.2500], [0.7500, 0.7500, 0.7500]],
  "space_group": "R-3m",
  "total_magnetization_mub_per_atom": 0.000
}

---

#z
{
  "formula": "LiAg2W",
  "functional": "PBE-GGA",
  "state": "relaxed",
  "cell": [[5.0462, -0.0013, 0.0000], [1.9057, 4.6725, 0.0000], [-3.4760, -2.3356, 2.8155]],
  "species": ["Ag", "Ag", "W", "Li"],
  "fractional_positions": [[0.2500, 0.7500, 0.5000], [0.0000, 0.0000, 0.0000], [0.7500, 0.2500, 0.5000], [0.5000, 0.5000, 0.0000]],
  "space_group": "I-4m2",
  "total_magnetization_mub_per_atom": 0.544
}

---

Result of the stability comparison: #y is the most stable of them.

---

#w
{
  "formula": "LiYAg",
  "functional": "PBE-GGA",
  "state": "relaxed",
  "cell": [[4.1104, 0.0000, 0.0000], [0.0000, 6.0089, 0.3032], [-2.0552, -0.5230, 10.9946]],
  "species": ["Ag", "Ag", "Ag", "Ag", "Li", "Li", "Li", "Li", "Y", "Y", "Y", "Y"],
  "fractional_positions": [[0.3308, 0.9849, 0.6616], [0.6695, 0.4847, 0.3390], [0.6692, 0.0151, 0.3384], [0.3305, 0.5153, 0.6610], [0.1874, 0.7496, 0.3748], [0.8126, 0.2504, 0.6252], [0.7718, 0.7505, 0.5435], [0.2282, 0.2495, 0.4565], [0.4511, 0.2500, 0.9022], [0.0820, 0.2501, 0.1640], [0.5489, 0.7500, 0.0978], [0.9180, 0.7499, 0.8360]],
  "space_group": "C2/m",
  "total_magnetization_mub_per_atom": 0.000
}

---

#x
{
  "formula": "LiYAg",
  "functional": "PBE-GGA",
  "state": "relaxed",
  "cell": [[-0.8188, 2.3897, 2.2708], [2.3573, -2.3255, 0.7568], [5.0517, 4.2560, -2.6574]],
  "species": ["Ag", "Li", "Y"],
  "fractional_positions": [[0.0000, 0.0000, 0.0193], [0.3333, 0.6667, 0.2959], [0.6667, 0.3333, 0.6847]],
  "space_group": "P3m1",
  "total_magnetization_mub_per_atom": 0.000
}

---

#y
{
  "formula": "LiYAg",
  "functional": "PBE-GGA",
  "state": "relaxed",
  "cell": [[4.8439, 0.0000, 0.0000], [2.4220, 4.1950, 0.0000], [2.4220, 1.3983, 3.9550]],
  "species": ["Ag", "Y", "Li"],
  "fractional_positions": [[0.0000, 0.0000, 0.0000], [0.2500, 0.2500, 0.2500], [0.5000, 0.5000, 0.5000]],
  "space_group": "F-43m",
  "total_magnetization_mub_per_atom": 0.000
}

---

Result of the stability comparison: #w is the most stable of them.

---

#w
{
  "formula": "LiYAg",
  "functional": "PBE-GGA",
  "state": "relaxed",
  "cell": [[4.2014, 0.0000, 0.0000], [0.0000, 8.0717, 0.0000], [0.0000, 0.0000, 8.0717]],
  "species": ["Ag", "Ag", "Ag", "Ag", "Y", "Y", "Y", "Y", "Li", "Li", "Li", "Li"],
  "fractional_positions": [[0.5000, 0.3416, 0.0651], [0.0000, 0.0651, 0.6584], [0.5000, 0.6584, 0.9349], [0.0000, 0.9349, 0.3416], [0.0000, 0.4259, 0.7653], [0.5000, 0.2347, 0.4259], [0.0000, 0.5741, 0.2347], [0.5000, 0.7653, 0.5741], [0.0000, 0.1507, 0.0918], [0.0000, 0.8493, 0.9082], [0.5000, 0.9082, 0.1507], [0.5000, 0.0918, 0.8493]],
  "space_group": "P4_2/m",
  "total_magnetization_mub_per_atom": 0.000
}

---

#x
{
  "formula": "LiYAg",
  "functional": "PBE-GGA",
  "state": "relaxed",
  "cell": [[5.5499, 0.0208, -0.0234], [4.3465, 3.4507, -0.0178], [1.2034, 0.4159, 3.4046]],
  "species": ["Ag", "Y", "Li"],
  "fractional_positions": [[0.9836, 0.9836, 0.0164], [0.6605, 0.6605, 0.3395], [0.3558, 0.3558, 0.6442]],
  "space_group": "I4mm",
  "total_magnetization_mub_per_atom": 0.000
}

---

Result of the stability comparison: #x is the most stable of them.

---

#w
{
  "formula": "LiYAg4",
  "functional": "PBE-GGA",
  "state": "relaxed",
  "cell": [[5.5784, 0.0000, 0.0000], [2.7892, 4.8310, 0.0000], [2.7892, 1.6103, 4.5547]],
  "species": ["Ag", "Ag", "Ag", "Ag", "Li", "Y"],
  "fractional_positions": [[0.1265, 0.6245, 0.6245], [0.6245, 0.1265, 0.6245], [0.6245, 0.6245, 0.1265], [0.6245, 0.6245, 0.6245], [0.2500, 0.2500, 0.2500], [0.0000, 0.0000, 0.0000]],
  "space_group": "F-43m",
  "total_magnetization_mub_per_atom": 0.000
}

---

#x
{
  "formula": "LiYAg4",
  "functional": "PBE-GGA",
  "state": "relaxed",
  "cell": [[-3.3180, 2.4223, -3.0686], [-2.7367, 2.6620, 3.5181], [1.5126, 4.7958, 1.3787]],
  "species": ["Ag", "Ag", "Ag", "Ag", "Li", "Y"],
  "fractional_positions": [[0.0013, 0.8238, 0.8512], [0.5014, 0.3378, 0.8238], [0.5013, 0.6663, 0.1668], [0.0014, 0.1797, 0.1395], [0.0011, 0.5016, 0.4959], [0.5013, 0.0020, 0.4953]],
  "space_group": "C2/m",
  "total_magnetization_mub_per_atom": 0.000
}

---

Result of the stability comparison: #x is the most stable of them.

---

#w
{
  "formula": "LiYAg3",
  "functional": "PBE-GGA",
  "state": "relaxed",
  "cell": [[5.5440, 0.0000, 0.0000], [0.0000, 5.5440, 0.0000], [0.0000, 0.0000, 5.5440]],
  "species": ["Ag", "Ag", "Ag", "Y", "Li"],
  "fractional_positions": [[0.5000, 0.0000, 0.0000], [0.0000, 0.5000, 0.0000], [0.0000, 0.0000, 0.5000], [0.0000, 0.0000, 0.0000], [0.5000, 0.5000, 0.5000]],
  "space_group": "Pm-3m",
  "total_magnetization_mub_per_atom": 0.000
}

---

#x
{
  "formula": "LiYAg3",
  "functional": "PBE-GGA",
  "state": "relaxed",
  "cell": [[5.4657, 0.0000, 0.0000], [0.0000, 7.4237, -0.9782], [0.0000, 0.4161, 9.9398]],
  "species": ["Ag", "Ag", "Ag", "Ag", "Ag", "Ag", "Ag", "Ag", "Ag", "Ag", "Ag", "Ag", "Y", "Y", "Y", "Y", "Li", "Li", "Li", "Li"],
  "fractional_positions": [[0.3448, 0.0490, 0.6060], [0.8976, 0.5146, 0.8691], [0.1552, 0.5490, 0.6060], [0.6552, 0.9510, 0.3940], [0.4087, 0.3635, 0.7905], [0.0913, 0.8635, 0.7905], [0.9087, 0.1365, 0.2095], [0.5913, 0.6365, 0.2095], [0.1024, 0.4854, 0.1309], [0.3976, 0.9854, 0.1309], [0.8448, 0.4510, 0.3940], [0.6024, 0.0146, 0.8691], [0.3537, 0.2935, 0.3626], [0.6463, 0.7065, 0.6374], [0.8537, 0.2065, 0.6374], [0.1463, 0.7935, 0.3626], [0.3869, 0.6675, 0.9546], [0.1131, 0.1675, 0.9546], [0.8869, 0.8325, 0.0454], [0.6131, 0.3325, 0.0454]],
  "space_group": "P2_1/c",
  "total_magnetization_mub_per_atom": 0.000
}

---

Result of the stability comparison: #x is the most stable of them.

---

#w
{
  "formula": "Li2ZnAg8",
  "functional": "PBE-GGA",
  "state": "relaxed",
  "cell": [[4.1211, 0.0000, 0.0000], [0.0000, 6.3976, 0.3481], [-2.0605, -2.2858, 6.9826]],
  "species": ["Li", "Li", "Ag", "Ag", "Ag", "Ag", "Ag", "Ag", "Ag", "Ag", "Zn"],
  "fractional_positions": [[0.7767, 0.3555, 0.5534], [0.2233, 0.6445, 0.4466], [0.8594, 0.8104, 0.7188], [0.4056, 0.5472, 0.8112], [0.9555, 0.2682, 0.9109], [0.1406, 0.1896, 0.2812], [0.5944, 0.4528, 0.1888], [0.6807, 0.9115, 0.3614], [0.0445, 0.7318, 0.0891], [0.3193, 0.0885, 0.6386], [0.5000, 0.0000, 0.0000]],
  "space_group": "C2/m",
  "total_magnetization_mub_per_atom": 0.000
}

---

#x
{
  "formula": "Li2ZnAg8",
  "functional": "PBE-GGA",
  "state": "relaxed",
  "cell": [[4.1619, 0.0000, -1.2666], [-1.0502, 6.0755, -3.4506], [-0.0104, 0.1135, 7.4368]],
  "species": ["Zn", "Ag", "Ag", "Ag", "Ag", "Ag", "Ag", "Ag", "Ag", "Li", "Li"],
  "fractional_positions": [[0.5000, 0.0000, 0.0000], [0.1522, 0.1522, 0.3044], [0.6514, 0.8652, 0.3028], [0.8478, 0.8478, 0.6956], [0.3486, 0.5624, 0.6972], [0.0000, 0.3027, 0.0000], [0.6514, 0.4376, 0.3028], [0.0000, 0.6973, 0.0000], [0.3486, 0.1348, 0.6972], [0.7992, 0.2992, 0.5984], [0.2008, 0.7008, 0.4016]],
  "space_group": "Immm",
  "total_magnetization_mub_per_atom": 0.000
}

---

Result of the stability comparison: #w is the most stable of them.

---

#w
{
  "formula": "Li6Zn2Ag",
  "functional": "PBE-GGA",
  "state": "relaxed",
  "cell": [[-2.4109, 3.1828, -3.4147], [-3.5567, 0.4039, 3.8481], [3.3763, 3.5560, 1.8912]],
  "species": ["Li", "Li", "Li", "Li", "Li", "Li", "Zn", "Zn", "Ag"],
  "fractional_positions": [[0.1659, 0.5001, 0.8338], [0.8341, 0.1662, 0.4999], [0.5000, 0.8339, 0.1661], [0.5000, 0.1661, 0.8339], [0.8341, 0.4999, 0.1662], [0.1659, 0.8338, 0.5001], [0.3384, 0.3384, 0.3384], [0.6616, 0.6616, 0.6616], [0.0000, 0.0000, 0.0000]],
  "space_group": "R-3m",
  "total_magnetization_mub_per_atom": 0.000
}

---

#x
{
  "formula": "Li6Zn2Ag",
  "functional": "PBE-GGA",
  "state": "relaxed",
  "cell": [[-3.0202, 2.1249, -1.5389], [-3.5778, -7.2127, -2.9374], [-4.3349, -0.8412, 7.3457]],
  "species": ["Li", "Li", "Li", "Li", "Li", "Li", "Li", "Li", "Li", "Li", "Li", "Li", "Zn", "Zn", "Zn", "Zn", "Ag", "Ag"],
  "fractional_positions": [[0.5000, 0.1768, 0.0000], [0.0000, 0.3351, 0.1647], [0.5000, 0.8232, 0.0000], [0.0000, 0.3232, 0.5000], [0.5000, 0.1649, 0.6647], [0.5000, 0.5002, 0.6768], [0.5000, 0.4998, 0.3232], [0.0000, 0.6649, 0.8353], [0.0000, 0.9998, 0.1768], [0.5000, 0.8351, 0.3353], [0.0000, 0.6768, 0.5000], [0.0000, 0.0002, 0.8232], [0.0000, 0.6663, 0.1664], [0.5000, 0.8337, 0.6664], [0.5000, 0.1663, 0.3336], [0.0000, 0.3337, 0.8336], [0.5000, 0.5000, 0.0000], [0.0000, 0.0000, 0.5000]],
  "space_group": "P4_2/mnm",
  "total_magnetization_mub_per_atom": 0.000
}

---

Result of the stability comparison: #w is the most stable of them.

---

#w
{
  "formula": "Li3Zn2Ag",
  "functional": "PBE-GGA",
  "state": "relaxed",
  "cell": [[5.0828, 0.0000, 0.0000], [-2.5414, 4.4019, 0.0000], [0.0000, 0.0000, 8.1535]],
  "species": ["Li", "Li", "Li", "Li", "Li", "Li", "Ag", "Ag", "Zn", "Zn", "Zn", "Zn"],
  "fractional_positions": [[0.6546, 0.8273, 0.2510], [0.3454, 0.1727, 0.7490], [0.1727, 0.8273, 0.2510], [0.1727, 0.3454, 0.2510], [0.8273, 0.6546, 0.7490], [0.8273, 0.1727, 0.7490], [0.3333, 0.6667, 0.9244], [0.6667, 0.3333, 0.0756], [0.3333, 0.6667, 0.5637], [0.6667, 0.3333, 0.4363], [0.0000, 0.0000, 0.5000], [0.0000, 0.0000, 0.0000]],
  "space_group": "P-3m1",
  "total_magnetization_mub_per_atom": 0.000
}

---

#x
{
  "formula": "Li3Zn2Ag",
  "functional": "PBE-GGA",
  "state": "relaxed",
  "cell": [[4.5545, 0.0000, 0.0000], [0.0000, 5.5911, -1.1466], [0.0000, -0.2355, 7.2746]],
  "species": ["Zn", "Zn", "Zn", "Zn", "Ag", "Ag", "Li", "Li", "Li", "Li", "Li", "Li"],
  "fractional_positions": [[0.2500, 0.8622, 0.4610], [0.7500, 0.4700, 0.8788], [0.2500, 0.5300, 0.1212], [0.7500, 0.1378, 0.5390], [0.2500, 0.6925, 0.7915], [0.7500, 0.3075, 0.2085], [0.7500, 0.9777, 0.8700], [0.7500, 0.8009, 0.2199], [0.7500, 0.6397, 0.5553], [0.2500, 0.1991, 0.7801], [0.2500, 0.3603, 0.4447], [0.2500, 0.0223, 0.1300]],
  "space_group": "P2_1/m",
  "total_magnetization_mub_per_atom": 0.000
}

---

Result of the stability comparison: #x is the most stable of them.

---

#w
{
  "formula": "LiZn5Ag4",
  "functional": "PBE-GGA",
  "state": "relaxed",
  "cell": [[5.2597, 0.0000, 0.0000], [2.6299, 5.6595, 0.0000], [2.6299, 0.0000, 5.6595]],
  "species": ["Ag", "Ag", "Ag", "Ag", "Zn", "Zn", "Zn", "Zn", "Zn", "Li"],
  "fractional_positions": [[0.1284, 0.2649, 0.3805], [0.5089, 0.6195, 0.2649], [0.7738, 0.7351, 0.6195], [0.3933, 0.3805, 0.7351], [0.8367, 0.3520, 0.8770], [0.1888, 0.8770, 0.6480], [0.7137, 0.1230, 0.3520], [0.0657, 0.6480, 0.1230], [0.6760, 0.0000, 0.0000], [0.2250, 0.0000, 0.0000]],
  "space_group": "I4",
  "total_magnetization_mub_per_atom": 0.000
}

---

#x
{
  "formula": "LiZn5Ag4",
  "functional": "PBE-GGA",
  "state": "relaxed",
  "cell": [[2.8715, 0.0000, 0.0000], [0.0000, 3.9014, 0.0000], [0.0000, 0.0000, 14.1986]],
  "species": ["Ag", "Ag", "Ag", "Ag", "Zn", "Zn", "Zn", "Zn", "Zn", "Li"],
  "fractional_positions": [[0.0000, 0.0000, 0.6025], [0.0000, 0.0000, 0.8083], [0.0000, 0.0000, 0.1917], [0.0000, 0.0000, 0.3975], [0.5000, 0.5000, 0.9062], [0.5000, 0.5000, 0.0938], [0.5000, 0.5000, 0.2950], [0.5000, 0.5000, 0.5000], [0.5000, 0.5000, 0.7050], [0.0000, 0.0000, 0.0000]],
  "space_group": "Pmmm",
  "total_magnetization_mub_per_atom": 0.000
}

---

Result of the stability comparison: #x is the most stable of them.

---

#w
{
  "formula": "Li5ZnAg2",
  "functional": "PBE-GGA",
  "state": "relaxed",
  "cell": [[4.6433, 0.0000, 0.0000], [0.0000, 4.6433, 0.0000], [-2.3217, -2.3217, 5.9958]],
  "species": ["Ag", "Ag", "Li", "Li", "Li", "Li", "Li", "Zn"],
  "fractional_positions": [[0.7546, 0.7546, 0.5092], [0.2454, 0.2454, 0.4908], [0.1289, 0.6289, 0.2578], [0.6289, 0.1289, 0.2578], [0.5000, 0.5000, 0.0000], [0.8711, 0.3711, 0.7422], [0.3711, 0.8711, 0.7422], [0.0000, 0.0000, 0.0000]],
  "space_group": "I4/mmm",
  "total_magnetization_mub_per_atom": 0.000
}

---

#x
{
  "formula": "Li5ZnAg2",
  "functional": "PBE-GGA",
  "state": "relaxed",
  "cell": [[-3.6902, 0.0093, -1.1723], [1.0467, -4.5907, -3.3313], [-2.8026, -7.0004, 8.7663]],
  "species": ["Zn", "Zn", "Ag", "Ag", "Ag", "Ag", "Li", "Li", "Li", "Li", "Li", "Li", "Li", "Li", "Li", "Li"],
  "fractional_positions": [[0.0000, 0.5000, 0.0000], [0.0000, 0.0000, 0.5000], [0.5000, 0.2496, 0.1212], [0.5000, 0.7496, 0.3788], [0.5000, 0.2504, 0.6212], [0.5000, 0.7504, 0.8788], [0.5000, 0.7574, 0.6231], [0.5000, 0.7426, 0.1231], [0.0000, 0.4972, 0.2473], [0.5000, 0.2574, 0.8769], [0.0000, 0.5000, 0.5000], [0.5000, 0.2426, 0.3769], [0.0000, 0.0000, 0.0000], [0.0000, 0.9972, 0.2527], [0.0000, 0.5028, 0.7527], [0.0000, 0.0028, 0.7473]],
  "space_group": "Pbam",
  "total_magnetization_mub_per_atom": 0.000
}

---

Result of the stability comparison: #x is the most stable of them.